A plane-wave DFT calculation with GGA-PBE was carried out for a relaxed structure of Zn2Sb2As.

Values from the calculation:
Size of the total moment (Bohr magnetons per cell): 0.0
Calculated total energy (eV per atom): -2.86
Polymorph energy (0 for the lowest one) (meV/atom): 0
ΔE_f (raw) (meV per atom): 229

Lattice parameters (Å, degrees): 8.317 8.317 3.301 90.00 90.00 90.00
Positions (direct):
Zn 0.107 0.393 0.000
Zn 0.393 0.893 0.000
Zn 0.607 0.107 0.000
Zn 0.893 0.607 0.000
Sb 0.201 0.701 0.500
Sb 0.299 0.201 0.500
Sb 0.701 0.799 0.500
Sb 0.799 0.299 0.500
As 0.000 0.000 0.500
As 0.500 0.500 0.500